Density functional theory data (GGA-PBE) for an optimized crystal structure of LiTmTe2O6.

Unit cell a=5.5207 b=7.4803 c=7.4803 alpha=84.85 beta=84.68 gamma=84.68
Closest atoms and distances in Å follow each position.
Positions (direct):
Te (0.3930, 0.8360, 0.6389)  4 O 1.99-2.13
Te (0.1070, 0.3611, 0.1640)  4 O 1.99-2.13
Te (0.8930, 0.6389, 0.8360)  4 O 1.99-2.13
Te (0.6070, 0.1640, 0.3611)  4 O 1.99-2.13
O (0.2652, 0.2984, 0.3922)  1 Li 1.98, 2 Te 1.99-2.06
O (0.9357, 0.3655, 0.8120)  1 Li 2.03, 1 Te 2.06, 1 Tm 2.18
O (0.5643, 0.1880, 0.6345)  1 Li 2.03, 1 Te 2.06, 1 Tm 2.18
O (0.4712, 0.1526, 0.1053)  1 Te 2.13, 1 Tm 2.19
O (0.9712, 0.1053, 0.1526)  1 Te 2.13, 1 Tm 2.19
O (0.2348, 0.6078, 0.7016)  1 Li 1.98, 2 Te 1.99-2.06
O (0.4357, 0.8120, 0.3655)  1 Li 2.03, 1 Te 2.06, 1 Tm 2.18
O (0.0643, 0.6345, 0.1880)  1 Li 2.03, 1 Te 2.06, 1 Tm 2.18
O (0.7652, 0.3922, 0.2984)  1 Li 1.98, 2 Te 1.99-2.06
O (0.5288, 0.8474, 0.8947)  1 Te 2.13, 1 Tm 2.19
O (0.7348, 0.7016, 0.6078)  1 Li 1.98, 2 Te 1.99-2.06
O (0.0288, 0.8947, 0.8474)  1 Te 2.13, 1 Tm 2.19
Tm (0.7500, 0.1198, 0.8802)  4 O 2.18-2.19
Tm (0.2500, 0.8802, 0.1198)  4 O 2.18-2.19
Li (0.7500, 0.6479, 0.3521)  4 O 1.98-2.03
Li (0.2500, 0.3521, 0.6479)  4 O 1.98-2.03

Values from the calculation:
As for the density of states at the Fermi level: 0.000 states/eV/atom. The value obtained for the formation energy from raw total energies is -1783.0 meV per atom.



Density functional theory data (GGA-PBE) for an optimized crystal structure of LiUTeO2.

Unit cell a=3.8341 b=3.8341 c=6.7780 alpha=106.43 beta=106.43 gamma=90.00
Closest atoms and distances in Å follow each position.
Positions (direct):
Te (0.4825, 0.4825, 0.9649)  4 U 3.31, 4 O 3.45, 5 Li 3.68-3.71
O (0.7513, 0.2513, 0.5026)  2 Li 2.08, 2 U 2.15
O (0.2513, 0.7513, 0.5026)  2 Li 2.08, 2 U 2.15
Li (0.1859, 0.1859, 0.3718)  4 O 2.08
U (0.8290, 0.8290, 0.6580)  4 O 2.15

Values from the calculation:
As for the density of states at the Fermi level: 1.093 states/eV/atom. The value obtained for the formation energy from raw total energies is -2194.0 meV per atom.